Entry 1:
## YAlAg2 (PBE)

Data for crystalline YAlAg2 at its relaxed geometry.

abc: 4.5022 3.3428 5.8348
angles: 73.23 90.00 90.00
Closest atoms and distances in Å follow each position.
Fractional coordinates of all 4 atoms:
Ag: 0.5000 0.4379 0.2519  2 Al 2.60
Ag: 0.0000 0.0421 0.0409  3 Al 2.98-3.11, 4 Ag 3.04-3.05, 4 Y 3.31-3.32
Y: 0.5000 0.6998 0.7234  3 Ag 2.95-3.12, 4 Al 3.11
Al: 0.0000 0.3202 0.4838  2 Ag 2.60

Values from the calculation:
Size of the total moment = 0.00 μB per formula unit
N(E_F) = 2.7 states/eV/f.u.
Density = 6.55 g/cm³
Final energy = -4.1554 eV/atom
Calculated formation energy = -0.18 eV/atom

Entry 2:
## YAl2Ag2 (PBE)

Data for crystalline YAl2Ag2 at its relaxed geometry.

abc: 4.1515 4.1515 6.5988
angles: 71.67 71.67 90.00
Closest atoms and distances in Å follow each position.
Fractional coordinates of all 5 atoms:
Ag: 0.6142 0.6142 0.7716  4 Al 2.62, 1 Ag 2.70
Ag: 0.3858 0.3858 0.2284  4 Al 2.62, 1 Ag 2.70
Al: 0.7500 0.2500 0.5000  4 Ag 2.62, 4 Al 2.94
Al: 0.2500 0.7500 0.5000  4 Ag 2.62, 4 Al 2.94
Y: 0.0000 0.0000 0.0000  8 Ag 3.23, 8 Al 3.61

Values from the calculation:
Size of the total moment = 0.00 μB per formula unit
N(E_F) = 2.6 states/eV/f.u.
Density = 5.85 g/cm³
Final energy = -4.2210 eV/atom
Calculated formation energy = -0.29 eV/atom

Entry 3:
## YAl2Ag4 (PBE)

Data for crystalline YAl2Ag4 at its relaxed geometry.

abc: 5.4021 5.6253 5.6253
angles: 76.67 61.30 61.30
Closest atoms and distances in Å follow each position.
Fractional coordinates of all 7 atoms:
Ag: 0.6981 0.6038 0.0000  4 Ag 2.76-2.89, 4 Al 2.86, 1 Y 2.98
Ag: 0.3019 0.3962 0.0000  4 Ag 2.76-2.89, 4 Al 2.86, 1 Y 2.98
Ag: 0.3019 0.0000 0.3962  4 Ag 2.76-2.89, 4 Al 2.86, 1 Y 2.98
Ag: 0.6981 0.0000 0.6038  4 Ag 2.76-2.89, 4 Al 2.86, 1 Y 2.98
Al: 0.7500 0.5000 0.5000  2 Al 2.70, 8 Ag 2.86
Al: 0.2500 0.5000 0.5000  2 Al 2.70, 8 Ag 2.86
Y: 0.0000 0.0000 0.0000  12 Ag 2.98-3.33

Values from the calculation:
Size of the total moment = 0.00 μB per formula unit
N(E_F) = 3.5 states/eV/f.u.
Density = 7.25 g/cm³
Final energy = -3.8562 eV/atom
Calculated formation energy = -0.23 eV/atom

Entry 4:
## YAl4Ag12 (PBE)

Data for crystalline YAl4Ag12 at its relaxed geometry.

abc: 7.7835 7.7835 7.7835
angles: 109.47 109.47 109.47
Closest atoms and distances in Å follow each position.
Fractional coordinates of all 17 atoms:
Y: 0.0000 0.0000 0.0000  12 Ag 3.40
Ag: 0.3448 0.1899 0.8451  2 Al 2.55, 2 Ag 2.78-2.79
Ag: 0.4997 0.1549 0.3448  2 Al 2.55, 2 Ag 2.78-2.79
Ag: 0.1549 0.3448 0.4997  2 Al 2.55, 2 Ag 2.78-2.79
Ag: 0.8451 0.3448 0.1899  2 Al 2.55, 2 Ag 2.78-2.79
Ag: 0.8451 0.6552 0.5003  2 Al 2.55, 2 Ag 2.78-2.79
Ag: 0.5003 0.8451 0.6552  2 Al 2.55, 2 Ag 2.78-2.79
Ag: 0.1549 0.6552 0.8101  2 Al 2.55, 2 Ag 2.78-2.79
Ag: 0.6552 0.5003 0.8451  2 Al 2.55, 2 Ag 2.78-2.79
Ag: 0.6552 0.8101 0.1549  2 Al 2.55, 2 Ag 2.78-2.79
Ag: 0.1899 0.8451 0.3448  2 Al 2.55, 2 Ag 2.78-2.79
Ag: 0.3448 0.4997 0.1549  2 Al 2.55, 2 Ag 2.78-2.79
Ag: 0.8101 0.1549 0.6552  2 Al 2.55, 2 Ag 2.78-2.79
Al: 0.0000 0.5000 0.0000  6 Ag 2.55
Al: 0.5000 0.0000 0.0000  6 Ag 2.55
Al: 0.5000 0.5000 0.5000  6 Ag 2.55
Al: 0.0000 0.0000 0.5000  6 Ag 2.55

Values from the calculation:
Size of the total moment = 0.00 μB per formula unit
N(E_F) = 8.6 states/eV/f.u.
Density = 6.82 g/cm³
Final energy = -3.0334 eV/atom
Calculated formation energy = 0.24 eV/atom

Entry 5:
## Y6AlAg (PBE)

Data for crystalline Y6AlAg at its relaxed geometry.

abc: 5.0766 5.0766 9.5638
angles: 74.65 74.65 90.04
Closest atoms and distances in Å follow each position.
Fractional coordinates of all 8 atoms:
Y: 0.7479 0.7479 0.5042  12 Y 3.58-3.63
Y: 0.8943 0.3943 0.2116  2 Ag 3.16, 2 Al 3.16
Y: 0.6057 0.1057 0.7884  2 Ag 3.16, 2 Al 3.16
Y: 0.2521 0.2521 0.4958  12 Y 3.58-3.63
Y: 0.1057 0.6057 0.7884  2 Ag 3.16, 2 Al 3.16
Y: 0.3943 0.8943 0.2116  2 Ag 3.16, 2 Al 3.16
Ag: 0.0000 0.0000 0.0000  8 Y 3.16
Al: 0.5000 0.5000 0.0000  8 Y 3.16

Values from the calculation:
Size of the total moment = 0.00 μB per formula unit
N(E_F) = 8.7 states/eV/f.u.
Density = 4.86 g/cm³
Final energy = -5.8326 eV/atom
Calculated formation energy = -0.16 eV/atom

Entry 6:
## YAl7Ag5 (PBE)

Data for crystalline YAl7Ag5 at its relaxed geometry.

abc: 5.5374 7.0579 7.0579
angles: 82.59 66.90 66.90
Closest atoms and distances in Å follow each position.
Fractional coordinates of all 13 atoms:
Ag: 0.5027 0.4866 0.0060  7 Al 2.64-2.91, 3 Ag 2.76-2.81
Ag: 0.7167 0.7833 0.7833  6 Al 2.72-3.01, 4 Ag 2.81
Ag: 0.5027 0.0060 0.4866  7 Al 2.64-2.91, 3 Ag 2.76-2.81
Ag: 0.0047 0.4866 0.0060  7 Al 2.64-2.91, 3 Ag 2.76-2.81
Ag: 0.0047 0.0060 0.4866  7 Al 2.64-2.91, 3 Ag 2.76-2.81
Al: 0.9958 0.3561 0.6523  4 Al 2.76-3.08, 5 Ag 2.79-2.88
Al: 0.3482 0.6518 0.6518  1 Al 2.66, 4 Ag 2.91
Al: 0.9958 0.6523 0.3561  4 Al 2.76-3.08, 5 Ag 2.79-2.88
Al: 0.5056 0.2022 0.7866  5 Ag 2.68-2.72, 2 Al 2.82-2.99
Al: 0.2782 0.2218 0.2218  4 Ag 2.64, 4 Al 2.82-2.90
Al: 0.5056 0.7866 0.2022  5 Ag 2.68-2.72, 2 Al 2.82-2.99
Al: 0.6421 0.3579 0.3579  1 Al 2.66, 4 Ag 2.82
Y: 0.9972 0.0028 0.0028  10 Al 3.18-3.40, 6 Ag 3.41-3.43

Values from the calculation:
Size of the total moment = 0.00 μB per formula unit
N(E_F) = 3.8 states/eV/f.u.
Density = 5.82 g/cm³
Final energy = -3.7857 eV/atom
Calculated formation energy = -0.18 eV/atom